VASP calculation (PBE-GGA) on crystalline Li2MnW at its relaxed geometry.

Results
energy above the most stable polymorph in this dataset = 156.0 meV/atom
uncorrected energy = -6.025 eV/atom

The structure in POSCAR format:
```
Li2MnW
1.0
-1.031 -1.244 2.089
2.508 0.750 0.353
-3.021 8.435 3.534
Li Mn W
2 1 1
Cartesian
-0.012 0.033 0.014
-1.499 4.185 1.753
-0.017 1.861 2.104
-1.528 6.079 3.871
```